A geometry-optimized KReSb2 structure. Source: Alexandria, functional PBE-GGA.

a b c (Å): 3.2857 3.2857 32.6966
angles (deg): 90.00 90.00 120.00
Last column: nearest neighbours and their distance in Å.
Element x y z (fractional)
K (0.0000, 0.0000, 0.0000)  6 K 3.29, 3 Re 3.44, 3 Sb 3.59
K (0.3333, 0.6667, 0.6667)  6 K 3.29, 3 Re 3.44, 3 Sb 3.59
K (0.6667, 0.3333, 0.3333)  6 K 3.29, 3 Re 3.44, 3 Sb 3.59
Re (0.0000, 0.0000, 0.7543)  3 Sb 2.69
Re (0.3333, 0.6667, 0.4210)  3 Sb 2.69
Re (0.6667, 0.3333, 0.0876)  3 Sb 2.69
Sb (0.0000, 0.0000, 0.2400)  9 Sb 3.29-3.61, 3 K 3.59
Sb (0.0000, 0.0000, 0.4794)  3 Re 2.69
Sb (0.3333, 0.6667, 0.1461)  3 Re 2.69
Sb (0.3333, 0.6667, 0.9067)  9 Sb 3.29-3.61, 3 K 3.59
Sb (0.6667, 0.3333, 0.5734)  9 Sb 3.29-3.61, 3 K 3.59
Sb (0.6667, 0.3333, 0.8128)  3 Re 2.69

Values from the calculation:
Offset from the most stable computed form ... 704 meV/atom
Calculated density ... 7.6 g/cm3

A geometry-optimized Ba2Cd5Ag2 structure. Source: Alexandria, functional PBE-GGA.

a b c (Å): 4.8180 4.8180 11.3725
angles (deg): 90.00 90.00 90.00
Last column: nearest neighbours and their distance in Å.
Element x y z (fractional)
Ba (0.0000, 0.0000, 0.0000)  12 Cd 3.41-3.58
Ba (0.0000, 0.0000, 0.5000)  8 Ag 3.68, 8 Cd 3.88
Cd (0.0000, 0.5000, 0.2323)  2 Ag 2.92
Cd (0.0000, 0.5000, 0.7677)  2 Ag 2.92
Cd (0.5000, 0.0000, 0.2323)  2 Ag 2.92
Cd (0.5000, 0.0000, 0.7677)  2 Ag 2.92
Cd (0.5000, 0.5000, 0.0000)  4 Ba 3.41, 8 Cd 3.58
Ag (0.5000, 0.5000, 0.3768)  1 Ag 2.80, 4 Cd 2.92
Ag (0.5000, 0.5000, 0.6232)  1 Ag 2.80, 4 Cd 2.92

Values from the calculation:
Formation energy ... -185 meV/atom
Calculated density ... 6.6 g/cm3

A geometry-optimized KTcW2 structure. Source: Alexandria, functional PBE-GGA.

a b c (Å): 3.0589 4.6053 10.6812
angles (deg): 90.00 90.00 90.00
Last column: nearest neighbours and their distance in Å.
Element x y z (fractional)
K (0.0000, 0.0000, 0.0000)  6 K 2.76-3.06
K (0.5000, 0.5000, 0.0000)  6 K 2.76-3.06
Tc (0.0000, 0.0000, 0.5000)  4 W 2.67, 4 Tc 2.76
Tc (0.5000, 0.5000, 0.5000)  4 W 2.67, 4 Tc 2.76
W (0.0000, 0.5000, 0.2946)  2 Tc 2.67, 4 W 2.76
W (0.0000, 0.5000, 0.7054)  2 Tc 2.67, 4 W 2.76
W (0.5000, 0.0000, 0.2946)  2 Tc 2.67, 4 W 2.76
W (0.5000, 0.0000, 0.7054)  2 Tc 2.67, 4 W 2.76

Values from the calculation:
Offset from the most stable computed form ... 98 meV/atom
Formation energy ... 856 meV/atom
Calculated density ... 11.1 g/cm3

A geometry-optimized Zn3FeSe structure. Source: Alexandria, functional PBE-GGA.

a b c (Å): 4.7023 4.7023 4.7023
angles (deg): 90.00 90.00 90.00
Last column: nearest neighbours and their distance in Å.
Element x y z (fractional)
Zn (0.0000, 0.0000, 0.5000)  2 Fe 2.35
Zn (0.0000, 0.5000, 0.0000)  2 Fe 2.35
Zn (0.5000, 0.0000, 0.0000)  2 Fe 2.35
Fe (0.0000, 0.0000, 0.0000)  6 Zn 2.35
Se (0.5000, 0.5000, 0.5000)  12 Zn 3.33

Values from the calculation:
Offset from the most stable computed form ... 0 meV/atom
Calculated density ... 5.3 g/cm3

A geometry-optimized PaAl11 structure. Source: Alexandria, functional PBE-GGA.

a b c (Å): 8.4967 8.4967 8.4967
angles (deg): 99.99 99.99 130.77
Last column: nearest neighbours and their distance in Å.
Element x y z (fractional)
Pa (0.3750, 0.6250, 0.7500)  18 Al 3.36-3.54
Pa (0.6250, 0.3750, 0.2500)  18 Al 3.36-3.54
Al (0.0000, 0.0000, 0.0000)  10 Al 2.69-2.87
Al (0.0000, 0.0000, 0.5000)  10 Al 2.69-2.87
Al (0.0000, 0.5000, 0.0000)  10 Al 2.69-2.87
Al (0.1250, 0.8750, 0.2500)  12 Al 2.87-2.96
Al (0.1305, 0.5547, 0.3339)  8 Al 2.64-2.96
Al (0.1305, 0.7966, 0.5758)  8 Al 2.64-2.96
Al (0.2034, 0.2793, 0.3339)  8 Al 2.64-2.96
Al (0.2034, 0.8695, 0.9242)  8 Al 2.64-2.96
Al (0.2793, 0.2034, 0.8339)  8 Al 2.64-2.96
Al (0.2793, 0.4453, 0.0758)  8 Al 2.64-2.96
Al (0.4453, 0.2793, 0.5758)  8 Al 2.64-2.96
Al (0.4453, 0.8695, 0.1661)  8 Al 2.64-2.96
Al (0.5000, 0.0000, 0.5000)  10 Al 2.69-2.87
Al (0.5547, 0.1305, 0.8339)  8 Al 2.64-2.96
Al (0.5547, 0.7207, 0.4242)  8 Al 2.64-2.96
Al (0.7207, 0.5547, 0.9242)  8 Al 2.64-2.96
Al (0.7207, 0.7966, 0.1661)  8 Al 2.64-2.96
Al (0.7966, 0.1305, 0.0758)  8 Al 2.64-2.96
Al (0.7966, 0.7207, 0.6661)  8 Al 2.64-2.96
Al (0.8695, 0.2034, 0.4242)  8 Al 2.64-2.96
Al (0.8695, 0.4453, 0.6661)  8 Al 2.64-2.96
Al (0.8750, 0.1250, 0.7500)  12 Al 2.87-2.96

Values from the calculation:
Formation energy ... -12 meV/atom
Calculated density ... 4.2 g/cm3

A geometry-optimized Mg2AuBr structure. Source: Alexandria, functional PBE-GGA.

a b c (Å): 3.8337 4.1747 5.7515
angles (deg): 90.00 90.00 90.00
Last column: nearest neighbours and their distance in Å.
Element x y z (fractional)
Mg (0.0000, 0.0000, 0.0000)  4 Br 2.83, 2 Au 2.88
Mg (0.5000, 0.5000, 0.5000)  4 Au 2.83, 2 Br 2.88
Au (0.0000, 0.0000, 0.5000)  6 Mg 2.83-2.88
Br (0.5000, 0.5000, 0.0000)  6 Mg 2.83-2.88

Values from the calculation:
Offset from the most stable computed form ... 183 meV/atom
Calculated density ... 5.9 g/cm3

A geometry-optimized Ti2CrGaN structure. Source: Alexandria, functional PBE-GGA.

a b c (Å): 4.1808 4.1808 3.7261
angles (deg): 90.00 90.00 90.00
Last column: nearest neighbours and their distance in Å.
Element x y z (fractional)
Ti (0.0000, 0.5000, 0.0000)  2 N 2.09
Ti (0.5000, 0.0000, 0.0000)  2 N 2.09
Cr (0.0000, 0.0000, 0.5000)  2 N 1.86
Ga (0.5000, 0.5000, 0.5000)  8 Ti 2.80, 4 Cr 2.96
N (0.0000, 0.0000, 0.0000)  2 Cr 1.86

Values from the calculation:
Total energy ... -8.10 eV/atom
Calculated density ... 5.9 g/cm3

A geometry-optimized LiAcSmSi structure. Source: Alexandria, functional PBE-GGA.

a b c (Å): 7.4988 7.4988 7.4988
angles (deg): 90.00 90.00 90.00
Last column: nearest neighbours and their distance in Å.
Element x y z (fractional)
Li (0.0000, 0.0000, 0.0000)  4 Sm 3.25, 4 Ac 3.25
Li (0.0000, 0.5000, 0.5000)  4 Sm 3.25, 4 Ac 3.25
Li (0.5000, 0.0000, 0.5000)  4 Sm 3.25, 4 Ac 3.25
Li (0.5000, 0.5000, 0.0000)  4 Sm 3.25, 4 Ac 3.25
Ac (0.2500, 0.2500, 0.2500)  4 Li 3.25, 4 Si 3.25
Ac (0.2500, 0.7500, 0.7500)  4 Li 3.25, 4 Si 3.25
Ac (0.7500, 0.2500, 0.7500)  4 Li 3.25, 4 Si 3.25
Ac (0.7500, 0.7500, 0.2500)  4 Li 3.25, 4 Si 3.25
Sm (0.2500, 0.2500, 0.7500)  4 Li 3.25, 4 Si 3.25
Sm (0.2500, 0.7500, 0.2500)  4 Li 3.25, 4 Si 3.25
Sm (0.7500, 0.2500, 0.2500)  4 Li 3.25, 4 Si 3.25
Sm (0.7500, 0.7500, 0.7500)  4 Li 3.25, 4 Si 3.25
Si (0.0000, 0.0000, 0.5000)  4 Ac 3.25, 4 Sm 3.25
Si (0.0000, 0.5000, 0.0000)  4 Ac 3.25, 4 Sm 3.25
Si (0.5000, 0.0000, 0.0000)  4 Ac 3.25, 4 Sm 3.25
Si (0.5000, 0.5000, 0.5000)  4 Ac 3.25, 4 Sm 3.25

Values from the calculation:
Total energy ... -4.28 eV/atom
Calculated density ... 6.5 g/cm3

A geometry-optimized ZrMn2Cr structure. Source: Alexandria, functional PBE-GGA.

a b c (Å): 5.3676 8.0879 2.7991
angles (deg): 90.00 110.89 90.00
Last column: nearest neighbours and their distance in Å.
Element x y z (fractional)
Zr (0.0000, 0.0000, 0.0000)  4 Mn 2.55, 2 Cr 2.68, 2 Zr 2.80
Zr (0.5000, 0.5000, 0.0000)  4 Mn 2.55, 2 Cr 2.68, 2 Zr 2.80
Mn (0.2500, 0.2500, 0.5000)  2 Cr 2.55, 2 Zr 2.55, 4 Mn 2.68-2.80
Mn (0.2500, 0.7500, 0.5000)  2 Zr 2.55, 2 Cr 2.55, 4 Mn 2.68-2.80
Mn (0.7500, 0.2500, 0.5000)  2 Cr 2.55, 2 Zr 2.55, 4 Mn 2.68-2.80
Mn (0.7500, 0.7500, 0.5000)  2 Cr 2.55, 2 Zr 2.55, 4 Mn 2.68-2.80
Cr (0.0000, 0.5000, 0.0000)  4 Mn 2.55, 2 Zr 2.68, 2 Cr 2.80
Cr (0.5000, 0.0000, 0.0000)  4 Mn 2.55, 2 Zr 2.68, 2 Cr 2.80

Values from the calculation:
Offset from the most stable computed form ... 254 meV/atom
Formation energy ... 303 meV/atom
Calculated density ... 7.4 g/cm3

A geometry-optimized Sc3Ge structure. Source: Alexandria, functional PBE-GGA.

a b c (Å): 11.1423 11.1423 5.6482
angles (deg): 90.00 90.00 90.00
Last column: nearest neighbours and their distance in Å.
Element x y z (fractional)
Sc (0.0349, 0.5827, 0.2259)  3 Ge 2.80-2.90, 1 Sc 3.11
Sc (0.0827, 0.9651, 0.7259)  3 Ge 2.80-2.90, 1 Sc 3.11
Sc (0.1085, 0.2107, 0.0343)  4 Ge 2.81-2.93
Sc (0.1365, 0.6654, 0.7113)  2 Ge 2.86-2.90, 2 Sc 3.11-3.15
Sc (0.1654, 0.8635, 0.2113)  2 Ge 2.86-2.90, 2 Sc 3.11-3.15
Sc (0.2107, 0.3915, 0.4657)  4 Ge 2.81-2.93
Sc (0.2893, 0.1085, 0.4657)  4 Ge 2.81-2.93
Sc (0.3346, 0.6365, 0.2113)  2 Ge 2.86-2.90, 2 Sc 3.11-3.15
Sc (0.3635, 0.8346, 0.7113)  2 Ge 2.86-2.90, 2 Sc 3.11-3.15
Sc (0.3915, 0.2893, 0.0343)  4 Ge 2.81-2.93
Sc (0.4173, 0.5349, 0.7259)  3 Ge 2.80-2.90, 1 Sc 3.11
Sc (0.4651, 0.9173, 0.2259)  3 Ge 2.80-2.90, 1 Sc 3.11
Sc (0.5349, 0.0827, 0.7741)  3 Ge 2.80-2.90, 1 Sc 3.11
Sc (0.5827, 0.4651, 0.2741)  3 Ge 2.80-2.90, 1 Sc 3.11
Sc (0.6085, 0.7107, 0.9657)  4 Ge 2.81-2.93
Sc (0.6365, 0.1654, 0.2887)  2 Ge 2.86-2.90, 2 Sc 3.11-3.15
Sc (0.6654, 0.3635, 0.7887)  2 Ge 2.86-2.90, 2 Sc 3.11-3.15
Sc (0.7107, 0.8915, 0.5343)  4 Ge 2.81-2.93
Sc (0.7893, 0.6085, 0.5343)  4 Ge 2.81-2.93
Sc (0.8346, 0.1365, 0.7887)  2 Ge 2.86-2.90, 2 Sc 3.11-3.15
Sc (0.8635, 0.3346, 0.2887)  2 Ge 2.86-2.90, 2 Sc 3.11-3.15
Sc (0.8915, 0.7893, 0.9657)  4 Ge 2.81-2.93
Sc (0.9173, 0.0349, 0.2741)  3 Ge 2.80-2.90, 1 Sc 3.11
Sc (0.9651, 0.4173, 0.7741)  3 Ge 2.80-2.90, 1 Sc 3.11
Ge (0.0485, 0.2019, 0.5389)  9 Sc 2.80-2.93
Ge (0.2019, 0.4515, 0.9611)  9 Sc 2.80-2.93
Ge (0.2981, 0.0485, 0.9611)  9 Sc 2.80-2.93
Ge (0.4515, 0.2981, 0.5389)  9 Sc 2.80-2.93
Ge (0.5485, 0.7019, 0.4611)  9 Sc 2.80-2.93
Ge (0.7019, 0.9515, 0.0389)  9 Sc 2.80-2.93
Ge (0.7981, 0.5485, 0.0389)  9 Sc 2.80-2.93
Ge (0.9515, 0.7981, 0.4611)  9 Sc 2.80-2.93

Values from the calculation:
Offset from the most stable computed form ... 0 meV/atom
Formation energy ... -518 meV/atom
Calculated density ... 3.9 g/cm3

A geometry-optimized Fe3IrW structure. Source: Alexandria, functional PBE-GGA.

a b c (Å): 4.3875 4.3875 4.3875
angles (deg): 90.00 90.00 90.00
Last column: nearest neighbours and their distance in Å.
Element x y z (fractional)
Fe (0.0000, 0.0000, 0.5000)  2 W 2.19
Fe (0.0000, 0.5000, 0.0000)  2 W 2.19
Fe (0.5000, 0.0000, 0.0000)  2 W 2.19
Ir (0.5000, 0.5000, 0.5000)  12 Fe 3.10
W (0.0000, 0.0000, 0.0000)  6 Fe 2.19

Values from the calculation:
Offset from the most stable computed form ... 0 meV/atom
Formation energy ... 1763 meV/atom
Calculated density ... 10.7 g/cm3

A geometry-optimized BeAlFe2 structure. Source: Alexandria, functional PBE-GGA.

a b c (Å): 2.5436 4.0058 4.4255
angles (deg): 90.00 94.69 90.00
Last column: nearest neighbours and their distance in Å.
Element x y z (fractional)
Be (0.0000, 0.0000, 0.0000)  5 Fe 2.31-2.57, 2 Al 2.46, 2 Be 2.54
Al (0.0337, 0.5000, 0.6796)  7 Fe 2.44-2.60, 2 Be 2.46, 2 Al 2.54
Fe (0.4609, 0.0000, 0.4708)  1 Be 2.31, 4 Fe 2.44-2.54, 2 Al 2.49
Fe (0.5859, 0.5000, 0.1712)  4 Be 2.41-2.57, 4 Fe 2.44-2.54, 3 Al 2.44-2.54

Values from the calculation:
Formation energy ... -151 meV/atom
Calculated density ... 5.5 g/cm3